# 1
Computed, not measured: crystalline CeDy3Tm at its relaxed geometry at the PBE level of DFT.

a b c (Å): 3.5717 11.0002 8.3962
angles (deg): 106.54 90.01 99.33
Each line ends with the local moment (μB).
Sites, in units of the cell vectors:
Dy: 0.2395 0.5125 0.0278  0.01
Dy: 0.0050 0.0426 0.9955  -0.03
Dy: 0.4378 0.9091 0.6259  0.03
Dy: 0.0389 0.1115 0.4261  -0.03
Dy: 0.8044 0.6415 0.3937  0.01
Dy: 0.6061 0.2449 0.7956  0.03
Tm: 0.4062 0.8451 0.1929  0.01
Tm: 0.6377 0.3090 0.2287  0.01
Ce: 0.8353 0.7037 0.8287  0.55
Ce: 0.2089 0.4504 0.5929  0.55

energy above the lowest structure with this stoichiometry = 0.0 meV/atom
total moment = 0.71 μB per formula unit
formation energy from the elements = 48 meV per atom
crystal system = monoclinic

# 2
Computed, not measured: crystalline NaPrTlHg at its relaxed geometry at the PBE level of DFT.

a b c (Å): 5.3757 5.3757 5.3757
angles (deg): 60.00 60.00 60.00
Sites, in units of the cell vectors:
Na: 0.0000 0.0000 0.0000
Hg: 0.7500 0.7500 0.7500
Tl: 0.2500 0.2500 0.2500
Pr: 0.5000 0.5000 0.5000

total moment = 0.00 μB per formula unit
formation energy from the elements = -328 meV per atom
crystal system = cubic

# 3
Computed, not measured: crystalline TlAgHg2 at its relaxed geometry at the PBE level of DFT.

a b c (Å): 8.4053 8.4053 6.6665
angles (deg): 50.92 50.92 90.00
Sites, in units of the cell vectors:
Tl: 0.7500 0.2500 0.5000
Tl: 0.0000 0.0000 0.0000
Hg: 0.1579 0.6250 0.2500
Hg: 0.8750 0.8421 0.7500
Hg: 0.5921 0.1250 0.2500
Hg: 0.3750 0.4079 0.7500
Ag: 0.5000 0.5000 0.0000
Ag: 0.2500 0.7500 0.5000

total moment = 0.00 μB per formula unit
formation energy from the elements = 110 meV per atom
crystal system = tetragonal

# 4
Computed, not measured: crystalline KInRu3 at its relaxed geometry at the PBE level of DFT.

a b c (Å): 4.7472 4.7472 4.7472
angles (deg): 90.00 90.00 90.00
Each line ends with the local moment (μB).
Sites, in units of the cell vectors:
Ru: 0.5000 0.0000 0.0000  1.91
Ru: 0.0000 0.0000 0.5000  1.61
Ru: 0.0000 0.5000 0.0000  1.87
K: 0.0000 0.0000 0.0000  0.06
In: 0.5000 0.5000 0.5000  -0.01

energy above the lowest structure with this stoichiometry = 775.5 meV/atom
total moment = 5.60 μB per formula unit
formation energy from the elements = 2593 meV per atom
crystal system = cubic

# 5
Computed, not measured: crystalline TcC3Br at its relaxed geometry at the PBE level of DFT.

a b c (Å): 4.1220 4.1220 4.1220
angles (deg): 90.00 90.00 90.00
Sites, in units of the cell vectors:
C: 0.5000 0.0000 0.0000
C: 0.0000 0.0000 0.5000
C: 0.0000 0.5000 0.0000
Tc: 0.0000 0.0000 0.0000
Br: 0.5000 0.5000 0.5000

total moment = 0.00 μB per formula unit
formation energy from raw total energies = 2.051 eV/atom
crystal system = cubic

# 6
Computed, not measured: crystalline Th6Co3Ir2S at its relaxed geometry at the PBE level of DFT.

a b c (Å): 4.0112 8.2272 9.1052
angles (deg): 104.32 102.73 90.00
Sites, in units of the cell vectors:
Ir: 0.1654 0.3261 0.3307
Ir: 0.8346 0.6739 0.6693
Th: 0.6715 0.0762 0.3430
Th: 0.9983 0.2652 0.9965
Th: 0.3285 0.9238 0.6570
Th: 0.0017 0.7348 0.0035
Th: 0.3368 0.4148 0.6736
Th: 0.6632 0.5852 0.3264
Co: 0.5000 0.5000 0.0000
Co: 0.1595 0.8324 0.3191
Co: 0.8405 0.1676 0.6809
S: 0.5000 0.0000 0.0000

total moment = 0.00 μB per formula unit
formation energy from raw total energies = -0.716 eV/atom
crystal system = monoclinic

# 7
Computed, not measured: crystalline LaTb3Dy2 at its relaxed geometry at the PBE level of DFT.

a b c (Å): 6.6358 7.7102 7.7102
angles (deg): 89.95 90.00 90.00
Sites, in units of the cell vectors:
Tb: 0.7500 0.5917 0.5917
Tb: 0.0000 0.2522 0.7478
Tb: 0.5000 0.7478 0.2522
Tb: 0.2500 0.4083 0.4083
Tb: 0.0000 0.7478 0.2522
Tb: 0.5000 0.2522 0.7478
Dy: 0.2500 0.5907 0.9050
Dy: 0.2500 0.9050 0.5907
Dy: 0.7500 0.0950 0.4093
Dy: 0.7500 0.4093 0.0950
La: 0.7500 0.8925 0.8925
La: 0.2500 0.1075 0.1075

energy above the lowest structure with this stoichiometry = 211.2 meV/atom
total moment = 0.00 μB per formula unit
formation energy from the elements = 222 meV per atom
crystal system = orthorhombic

# 8
Computed, not measured: crystalline Na2LiZnH at its relaxed geometry at the PBE level of DFT.

a b c (Å): 4.8480 4.8480 4.0160
angles (deg): 90.00 90.00 90.00
Sites, in units of the cell vectors:
Li: 0.0000 0.0000 0.5000
Na: 0.0000 0.5000 0.0000
Na: 0.5000 0.0000 0.0000
H: 0.0000 0.0000 0.0000
Zn: 0.5000 0.5000 0.5000

total moment = 0.00 μB per formula unit
calculated total energy = -1.818 eV/atom
crystal system = tetragonal

# 9
Computed, not measured: crystalline KMg2ZnIr at its relaxed geometry at the PBE level of DFT.

a b c (Å): 5.0820 5.0820 4.9963
angles (deg): 90.00 90.00 90.00
Sites, in units of the cell vectors:
K: 0.5000 0.5000 0.5000
Mg: 0.5000 0.0000 0.0000
Mg: 0.0000 0.5000 0.0000
Ir: 0.0000 0.0000 0.0000
Zn: 0.0000 0.0000 0.5000

energy above the lowest structure with this stoichiometry = 0.0 meV/atom
total moment = 0.00 μB per formula unit
formation energy from the elements = -102 meV per atom
crystal system = tetragonal

# 10
Computed, not measured: crystalline Tb7Pm4Tl at its relaxed geometry at the PBE level of DFT.

a b c (Å): 3.5985 3.5985 34.4857
angles (deg): 90.00 90.00 120.00
Sites, in units of the cell vectors:
Tb: 0.0000 0.0000 0.0000
Tb: 0.6667 0.3333 0.5761
Tb: 0.6667 0.3333 0.8296
Tb: 0.3333 0.6667 0.1704
Tb: 0.0000 0.0000 0.7460
Tb: 0.3333 0.6667 0.4239
Tb: 0.0000 0.0000 0.2540
Pm: 0.3333 0.6667 0.9149
Pm: 0.6667 0.3333 0.0851
Pm: 0.6667 0.3333 0.3396
Pm: 0.3333 0.6667 0.6604
Tl: 0.0000 0.0000 0.5000

total moment = 0.00 μB per formula unit
formation energy from the elements = -33 meV per atom
crystal system = trigonal

# 11
Computed, not measured: crystalline ScTl2F at its relaxed geometry at the PBE level of DFT.

a b c (Å): 10.3291 10.3291 7.5803
angles (deg): 47.05 47.05 90.00
Sites, in units of the cell vectors:
Tl: 0.8750 0.7547 0.7500
Tl: 0.2453 0.6250 0.2500
Tl: 0.3750 0.4953 0.7500
Tl: 0.5047 0.1250 0.2500
Sc: 0.0000 0.0000 0.0000
Sc: 0.7500 0.2500 0.5000
F: 0.2500 0.7500 0.5000
F: 0.5000 0.5000 0.0000

energy above the lowest structure with this stoichiometry = 0.0 meV/atom
total moment = 0.00 μB per formula unit
formation energy from raw total energies = -0.927 eV/atom
crystal system = tetragonal

# 12
Computed, not measured: crystalline GeTeAu at its relaxed geometry at the PBE level of DFT.

a b c (Å): 4.7561 4.7561 4.7561
angles (deg): 60.00 60.00 60.00
Sites, in units of the cell vectors:
Te: 0.0000 0.0000 0.0000
Ge: 0.5000 0.5000 0.5000
Au: 0.2500 0.2500 0.2500

total moment = 0.00 μB per formula unit
formation energy from raw total energies = 0.108 eV/atom
crystal system = cubic